Entry 1
Below is crystalline PtPb3Br at its relaxed geometry, with properties calculated at the GGA-PBE level.

Its symmetry is Pm-3m (221).

a = 5.5866 Å, b = 5.5866 Å, c = 5.5866 Å
α = 90.00°, β = 90.00°, γ = 90.00°
Closest atoms and distances in Å follow each position.
Fractional coordinates of all 5 atoms:
Pt 0.0000 0.0000 0.0000  12 Pb 3.95
Pb 0.0000 0.5000 0.5000  2 Br 2.79
Pb 0.5000 0.0000 0.5000  2 Br 2.79
Pb 0.5000 0.5000 0.0000  2 Br 2.79
Br 0.5000 0.5000 0.5000  6 Pb 2.79

Entry 2
Below is crystalline PtPb3Br at its relaxed geometry, with properties calculated at the GGA-PBE level.

Its symmetry is Pm-3m (221).

a = 5.4929 Å, b = 5.4929 Å, c = 5.4929 Å
α = 90.00°, β = 90.00°, γ = 90.00°
Closest atoms and distances in Å follow each position.
Fractional coordinates of all 5 atoms:
Pt 0.0000 0.0000 0.0000  6 Pb 2.75
Pb 0.0000 0.0000 0.5000  2 Pt 2.75
Pb 0.0000 0.5000 0.0000  2 Pt 2.75
Pb 0.5000 0.0000 0.0000  2 Pt 2.75
Br 0.5000 0.5000 0.5000  12 Pb 3.88

Top of the stability list: entry 2, leading by 881 meV/atom.